1.
Crystalline BaZn2GaOs at its relaxed geometry. Source: Alexandria via LeMat-Bulk, functional PBE.

Summary:
**Raw total energy**: -3.95 eV/atom
**SG**: P4/mmm
**Total magnetization**: 0.000 μB per cell
**Density of states at the Fermi level**: 1.74 states/eV per cell
**Calculated density**: 7.4 g/cm3

a = 4.962 Å, b = 4.962 Å, c = 4.843 Å
α = 90.00°, β = 90.00°, γ = 90.00°
Element x y z (fractional)
Ba  0.000  0.000  0.000
Zn  0.000  0.500  0.500
Zn  0.500  0.000  0.500
Ga  0.500  0.500  0.000
Os  0.500  0.500  0.500


2.
Crystalline Dy8Ho6Al at its relaxed geometry. Source: Alexandria via LeMat-Bulk, functional PBE.

Summary:
**Raw total energy**: -4.44 eV/atom
**SG**: P-3
**Total magnetization**: 0.000 μB per cell
**Density of states at the Fermi level**: 20.03 states/eV per cell
**Calculated density**: 8.3 g/cm3

a = 9.326 Å, b = 9.326 Å, c = 6.184 Å
α = 90.00°, β = 90.00°, γ = 120.00°
Element x y z (fractional)
Dy  0.042  0.780  0.197
Dy  0.220  0.262  0.197
Dy  0.262  0.042  0.803
Dy  0.333  0.667  0.193
Dy  0.667  0.333  0.807
Dy  0.738  0.958  0.197
Dy  0.780  0.738  0.803
Dy  0.958  0.220  0.803
Ho  0.094  0.638  0.689
Ho  0.362  0.456  0.689
Ho  0.456  0.094  0.311
Ho  0.544  0.906  0.689
Ho  0.638  0.544  0.311
Ho  0.906  0.362  0.311
Al  0.000  0.000  0.500


3.
Crystalline SrAc2DyTe5 at its relaxed geometry. Source: Alexandria via LeMat-Bulk, functional PBE.

Summary:
**Raw total energy**: -4.53 eV/atom
**SG**: P4/mmm
**Total magnetization**: 0.000 μB per cell
**Density of states at the Fermi level**: 4.44 states/eV per cell
**Calculated density**: 6.0 g/cm3

a = 5.540 Å, b = 5.540 Å, c = 12.021 Å
α = 90.00°, β = 90.00°, γ = 90.00°
Element x y z (fractional)
Sr  0.000  0.000  0.000
Ac  0.500  0.500  0.304
Ac  0.500  0.500  0.696
Dy  0.000  0.000  0.500
Te  0.000  0.000  0.253
Te  0.000  0.000  0.747
Te  0.000  0.500  0.500
Te  0.500  0.000  0.500
Te  0.500  0.500  0.000